# 1
! PBE CaRuC2, relaxed; values from VASP
! formation energy from the elements	1237	meV/atom
! space group	Fm-3m
&SYSTEM
  ibrav = 0, nat = 4, ntyp = 3
/
ATOMIC_SPECIES
Ru 101.07 Ru.upf
Ca 40.08 Ca.upf
C 12.01 C.upf
CELL_PARAMETERS angstrom
0.000 2.825 2.825
2.825 0.000 2.825
2.825 2.825 0.000
ATOMIC_POSITIONS crystal
Ru 0.500 0.500 0.500
Ca 0.000 0.000 0.000
C 0.250 0.250 0.250
C 0.750 0.750 0.750

---

# 2
! PBE Ca3RuC, relaxed; values from VASP
! energy above the most stable polymorph in this dataset	0.000	eV/f.u.
! formation energy from the elements	608	meV/atom
! space group	Pm-3m
&SYSTEM
  ibrav = 0, nat = 5, ntyp = 3
/
ATOMIC_SPECIES
Ru 101.07 Ru.upf
Ca 40.08 Ca.upf
C 12.01 C.upf
CELL_PARAMETERS angstrom
-4.398 -1.890 1.189
-1.036 -0.600 -4.784
1.978 -4.516 0.138
ATOMIC_POSITIONS crystal
Ru 0.500 0.500 0.500
Ca 0.000 0.500 0.000
Ca 0.000 0.000 0.500
Ca 0.500 0.000 0.000
C 0.000 0.000 0.000

---

# 3
! PBE CaRuC, relaxed; values from VASP
! energy above the most stable polymorph in this dataset	0.200	eV/f.u.
! formation energy from the elements	96	meV/atom
! space group	Pmma
&SYSTEM
  ibrav = 0, nat = 6, ntyp = 3
/
ATOMIC_SPECIES
Ca 40.08 Ca.upf
Ru 101.07 Ru.upf
C 12.01 C.upf
CELL_PARAMETERS angstrom
3.429 0.000 -0.012
0.000 5.784 0.000
0.019 0.000 5.322
ATOMIC_POSITIONS crystal
Ca 0.500 0.750 0.768
Ca 0.500 0.250 0.232
Ru 0.000 0.750 0.282
Ru 0.000 0.250 0.718
C 0.000 0.000 0.500
C 0.000 0.500 0.500

---

# 4
! PBE CaRuC, relaxed; values from VASP
! energy above the most stable polymorph in this dataset	0.000	eV/f.u.
! formation energy from the elements	30	meV/atom
! space group	P3m1
&SYSTEM
  ibrav = 0, nat = 3, ntyp = 3
/
ATOMIC_SPECIES
Ru 101.07 Ru.upf
Ca 40.08 Ca.upf
C 12.01 C.upf
CELL_PARAMETERS angstrom
4.729 0.000 0.000
0.000 3.428 0.000
0.000 -1.714 2.969
ATOMIC_POSITIONS crystal
Ru 0.181 0.333 0.667
Ca 0.703 0.667 0.333
C 0.117 0.000 0.000

---

# 5
! PBE Ca2RuCSe, relaxed; values from VASP
! energy relative to the elements, uncorrected	-43.8	kJ/mol of atoms
! space group	P4/mmm
&SYSTEM
  ibrav = 0, nat = 5, ntyp = 4
/
ATOMIC_SPECIES
Ru 101.07 Ru.upf
Ca 40.08 Ca.upf
C 12.01 C.upf
Se 78.96 Se.upf
CELL_PARAMETERS angstrom
5.064 0.000 0.000
0.000 5.064 0.000
0.000 0.000 3.901
ATOMIC_POSITIONS crystal
Ru 0.000 0.000 0.500
Ca 0.000 0.500 0.000
Ca 0.500 0.000 0.000
C 0.000 0.000 0.000
Se 0.500 0.500 0.500

---

# 6
! PBE CaTeRuC2, relaxed; values from VASP
! energy relative to the elements, uncorrected	186.0	kJ/mol of atoms
! space group	P4/mmm
&SYSTEM
  ibrav = 0, nat = 5, ntyp = 4
/
ATOMIC_SPECIES
Ru 101.07 Ru.upf
Ca 40.08 Ca.upf
Te 127.60 Te.upf
C 12.01 C.upf
CELL_PARAMETERS angstrom
4.389 0.000 0.000
0.000 4.900 0.000
0.000 0.000 4.389
ATOMIC_POSITIONS crystal
Ru 0.000 0.500 0.000
Ca 0.500 0.500 0.500
Te 0.000 0.000 0.000
C 0.000 0.000 0.500
C 0.500 0.000 0.000

---

# 7
! PBE CaY2RuC, relaxed; values from VASP
! formation energy from the elements	-110	meV/atom
! space group	P4/mmm
&SYSTEM
  ibrav = 0, nat = 5, ntyp = 4
/
ATOMIC_SPECIES
Y 88.91 Y.upf
Ru 101.07 Ru.upf
Ca 40.08 Ca.upf
C 12.01 C.upf
CELL_PARAMETERS angstrom
5.129 0.000 0.000
0.000 5.129 0.000
0.000 0.000 4.028
ATOMIC_POSITIONS crystal
Y 0.000 0.500 0.000
Y 0.500 0.000 0.000
Ru 0.000 0.000 0.500
Ca 0.500 0.500 0.500
C 0.000 0.000 0.000

---

# 8
! PBE CaC3S, relaxed; values from VASP
! energy above the most stable polymorph in this dataset	8.441	eV/f.u.
! energy relative to the elements, uncorrected	354.3	kJ/mol of atoms
! space group	Pm-3m
&SYSTEM
  ibrav = 0, nat = 5, ntyp = 3
/
ATOMIC_SPECIES
C 12.01 C.upf
Ca 40.08 Ca.upf
S 32.06 S.upf
CELL_PARAMETERS angstrom
-2.690 -3.332 1.902
2.795 -0.111 3.759
-2.628 3.293 2.051
ATOMIC_POSITIONS crystal
C 0.000 0.500 0.000
C 0.000 0.000 0.500
C 0.500 0.000 0.000
Ca 0.000 0.000 0.000
S 0.500 0.500 0.500

---

# 9
! PBE CaC3S, relaxed; values from VASP
! energy above the most stable polymorph in this dataset	0.000	eV/f.u.
! energy relative to the elements, uncorrected	191.4	kJ/mol of atoms
! space group	Pm-3m
&SYSTEM
  ibrav = 0, nat = 5, ntyp = 3
/
ATOMIC_SPECIES
C 12.01 C.upf
Ca 40.08 Ca.upf
S 32.06 S.upf
CELL_PARAMETERS angstrom
-2.971 -1.938 -1.347
1.310 -3.155 1.650
-1.963 0.827 3.140
ATOMIC_POSITIONS crystal
C 0.000 0.500 0.000
C 0.000 0.000 0.500
C 0.500 0.000 0.000
Ca 0.500 0.500 0.500
S 0.000 0.000 0.000

---

# 10
! PBE CaSbCS2, relaxed; values from VASP
! energy relative to the elements, uncorrected	125.0	kJ/mol of atoms
! space group	P4/mmm
&SYSTEM
  ibrav = 0, nat = 5, ntyp = 4
/
ATOMIC_SPECIES
C 12.01 C.upf
Sb 121.76 Sb.upf
Ca 40.08 Ca.upf
S 32.06 S.upf
CELL_PARAMETERS angstrom
4.986 0.000 0.000
0.000 6.151 0.000
0.000 0.000 4.986
ATOMIC_POSITIONS crystal
C 0.500 0.500 0.500
Sb 0.000 0.000 0.000
Ca 0.000 0.500 0.000
S 0.000 0.000 0.500
S 0.500 0.000 0.000

---

# 11
! PBE Ca2SiCS, relaxed; values from VASP
! energy relative to the elements, uncorrected	88.1	kJ/mol of atoms
! space group	P4/mmm
&SYSTEM
  ibrav = 0, nat = 5, ntyp = 4
/
ATOMIC_SPECIES
C 12.01 C.upf
Ca 40.08 Ca.upf
Si 28.09 Si.upf
S 32.06 S.upf
CELL_PARAMETERS angstrom
-0.926 5.080 2.047
-4.357 -0.369 -1.056
-1.025 -2.200 4.996
ATOMIC_POSITIONS crystal
C 0.500 0.500 0.500
Ca 0.000 0.000 0.500
Ca 0.500 0.000 0.000
Si 0.000 0.000 0.000
S 0.000 0.500 0.000

---

# 12
! PBE CaTiCS2, relaxed; values from VASP
! energy relative to the elements, uncorrected	7.4	kJ/mol of atoms
! space group	P4/mmm
&SYSTEM
  ibrav = 0, nat = 5, ntyp = 4
/
ATOMIC_SPECIES
C 12.01 C.upf
Ca 40.08 Ca.upf
S 32.06 S.upf
Ti 47.87 Ti.upf
CELL_PARAMETERS angstrom
4.755 0.000 0.000
0.000 3.914 0.000
0.000 0.000 4.755
ATOMIC_POSITIONS crystal
C 0.000 0.000 0.000
Ca 0.500 0.500 0.500
S 0.000 0.000 0.500
S 0.500 0.000 0.000
Ti 0.000 0.500 0.000

---

| no. | calculated total energy (eV/f.u.) |
| --- | --- |
| 1 | -24.78 |
| 2 | -21.47 |
| 3 | -20.21 |
| 4 | -20.41 |
| 5 | -28.26 |
| 6 | -23.23 |
| 7 | -33.98 |
| 8 | -15.44 |
| 9 | -23.88 |
| 10 | -17.12 |
| 11 | -18.21 |
| 12 | -26.99 |